[1]
Entry from Alexandria via LeMat-Bulk: a geometry-optimized CaNd6Er5 structure (PBE-GGA).

The space group is C2/m (No. 12) and the conventional cell measures 11.9096, 10.9061 and 6.2730 Å, with angles of 90.00, 100.25 and 90.00 degrees. The asymmetric unit holds Ca at (0.0000, 0.0000, 0.0000), Nd at (0.2463, 0.3293, 0.7482), Nd at (0.2477, 0.5000, 0.2597), Er at (0.0000, 0.1718, 0.5000), Er at (0.0000, 0.3387, 0.0000) and Er at (0.0000, 0.5000, 0.5000).

As for the crystal system: monoclinic.

---

[2]
Entry from Alexandria via LeMat-Bulk: a geometry-optimized CaNd4Er structure (PBE-GGA).

The space group is F-43m (No. 216) and the conventional cell measures 9.6040, 9.6040 and 9.6040 Å, with angles of 90.00, 90.00 and 90.00 degrees. The asymmetric unit holds Ca at (0.0000, 0.0000, 0.0000), Nd at (0.1232, 0.1232, 0.3768) and Er at (0.2500, 0.2500, 0.7500).

Its energy above the most stable polymorph in this dataset is 1.09 eV/f.u. As for the crystal system: cubic.

---

[3]
Entry from Alexandria via LeMat-Bulk: a geometry-optimized CaNd4Er5 structure (PBE-GGA).

The space group is C2/m (No. 12) and the conventional cell measures 17.1496, 3.5594 and 11.5666 Å, with angles of 90.00, 109.01 and 90.00 degrees. The asymmetric unit holds Ca at (0.0000, 0.0000, 0.0000), Nd at (0.0873, 0.5000, 0.7876), Nd at (0.1090, 0.0000, 0.2997), Er at (0.0000, 0.0000, 0.5000), Er at (0.1900, 0.5000, 0.5783) and Er at (0.2201, 0.5000, 0.1229).

As for the crystal system: monoclinic.

---

[4]
Entry from Alexandria via LeMat-Bulk: a geometry-optimized Ca2Nd15Er2 structure (PBE-GGA).

The space group is R-3m (No. 166, hexagonal axes) and the conventional cell measures 11.6917, 11.6917 and 17.8038 Å, with angles of 90.00, 90.00 and 120.00 degrees. The asymmetric unit holds Ca at (0.0000, 0.0000, 0.1700), Nd at (0.0000, 0.2935, 0.5000), Nd at (0.0000, 0.5000, 0.0000), Nd at (0.0066, 0.5033, 0.6403) and Er at (0.0000, 0.0000, 0.4050).

As for the crystal system: trigonal.

---

[5]
Entry from Alexandria via LeMat-Bulk: a geometry-optimized CaNd4Er structure (PBE-GGA).

The space group is P2/m (No. 10) and the conventional cell measures 3.6348, 5.2217 and 11.1058 Å, with angles of 90.00, 90.06 and 90.00 degrees. The asymmetric unit holds Ca at (0.0000, 0.0000, 0.0000), Nd at (0.0010, 0.0000, 0.6593), Nd at (0.4986, 0.5000, 0.1822) and Er at (0.5000, 0.5000, 0.5000).

Its energy above the most stable polymorph in this dataset is 0.00 eV/f.u. As for the crystal system: monoclinic.

---

[6]
Entry from Alexandria via LeMat-Bulk: a geometry-optimized Ca2Nd5Er structure (PBE-GGA).

The space group is I4/mmm (No. 139) and the conventional cell measures 5.2058, 5.2058 and 21.2184 Å, with angles of 90.00, 90.00 and 90.00 degrees. The asymmetric unit holds Ca at (0.0000, 0.0000, 0.2497), Nd at (0.0000, 0.0000, 0.0000), Nd at (0.0000, 0.5000, 0.1174) and Er at (0.0000, 0.0000, 0.5000).

As for the crystal system: tetragonal.

---

[7]
Entry from Alexandria via LeMat-Bulk: a geometry-optimized CaNd2Er structure (PBE-GGA).

The space group is Fm-3m (No. 225) and the conventional cell measures 8.2521, 8.2521 and 8.2521 Å, with angles of 90.00, 90.00 and 90.00 degrees. The asymmetric unit holds Ca at (0.0000, 0.0000, 0.0000), Nd at (0.2500, 0.2500, 0.2500) and Er at (0.0000, 0.0000, 0.5000).

Its energy above the most stable polymorph in this dataset is 0.32 eV/f.u. As for the crystal system: cubic.

---

[8]
Entry from Alexandria via LeMat-Bulk: a geometry-optimized CaNd8Er3 structure (PBE-GGA).

The space group is Cm (No. 8) and the conventional cell measures 19.0248, 3.6539 and 12.6573 Å, with angles of 90.00, 109.91 and 90.00 degrees. The asymmetric unit holds Ca at (0.0000, 0.0000, 0.0000), Nd at (0.0003, 0.5000, 0.2588), Nd at (0.0037, 0.0000, 0.5080), Nd at (0.1683, 0.0000, 0.4208), Nd at (0.1705, 0.0000, 0.9170), Nd at (0.1718, 0.5000, 0.1734), Nd at (0.3290, 0.0000, 0.8341), Nd at (0.3360, 0.0000, 0.3368), Nd at (0.3377, 0.5000, 0.5931), Er at (0.0030, 0.5000, 0.7487), Er at (0.1681, 0.5000, 0.6716) and Er at (0.3319, 0.5000, 0.0868).

As for the crystal system: monoclinic.

---

[9]
Entry from Alexandria via LeMat-Bulk: a geometry-optimized CaNd14Er structure (PBE-GGA).

The space group is Amm2 (No. 38) and the conventional cell measures 11.4091, 8.7606 and 11.2639 Å, with angles of 90.00, 90.00 and 90.00 degrees. The asymmetric unit holds Ca at (0.0000, 0.0000, 0.0000), Nd at (0.0000, 0.2080, 0.7224), Nd at (0.2329, 0.0000, 0.2265), Nd at (0.2558, 0.2147, 0.9352), Nd at (0.2603, 0.0000, 0.6548), Nd at (0.5000, 0.0000, 0.4395), Nd at (0.5000, 0.0000, 0.8612), Nd at (0.5000, 0.2033, 0.1547) and Er at (0.0000, 0.0000, 0.4448).

As for the crystal system: orthorhombic.

---

[10]
Entry from Alexandria via LeMat-Bulk: a geometry-optimized CaNd12Er3 structure (PBE-GGA).

The space group is P4/mmm (No. 123) and the conventional cell measures 5.1718, 5.1718 and 20.6623 Å, with angles of 90.00, 90.00 and 90.00 degrees. The asymmetric unit holds Ca at (0.0000, 0.0000, 0.0000), Nd at (0.0000, 0.5000, 0.1302), Nd at (0.0000, 0.5000, 0.3764), Nd at (0.5000, 0.5000, 0.0000), Nd at (0.5000, 0.5000, 0.2517), Nd at (0.5000, 0.5000, 0.5000), Er at (0.0000, 0.0000, 0.2518) and Er at (0.0000, 0.0000, 0.5000).

As for the crystal system: tetragonal.

---

Number 1: D(E_F) 28.396 states/eV/cell, ΔH_f (0 K) 0.034 eV per atom, VASP energy -106.0 eV per cell. Number 2: D(E_F) 39.736 states/eV/cell, ΔH_f (0 K) 0.219 eV per atom, VASP energy -97.3 eV per cell. Number 3: D(E_F) 30.705 states/eV/cell, ΔH_f (0 K) 0.070 eV per atom, VASP energy -86.4 eV per cell. Number 4: D(E_F) 81.356 states/eV/cell, ΔH_f (0 K) 0.225 eV per atom, VASP energy -241.1 eV per cell. Number 5: D(E_F) 8.744 states/eV/cell, ΔH_f (0 K) 0.038 eV per atom, VASP energy -25.4 eV per cell. Number 6: D(E_F) 24.568 states/eV/cell, ΔH_f (0 K) 0.043 eV per atom, VASP energy -64.1 eV per cell. Number 7: D(E_F) 25.756 states/eV/cell, ΔH_f (0 K) 0.116 eV per atom, VASP energy -62.5 eV per cell. Number 8: D(E_F) 33.305 states/eV/cell, ΔH_f (0 K) 0.032 eV per atom, VASP energy -106.9 eV per cell. Number 9: D(E_F) 44.211 states/eV/cell, ΔH_f (0 K) 0.064 eV per atom, VASP energy -144.6 eV per cell. Number 10: D(E_F) 23.721 states/eV/cell, ΔH_f (0 K) 0.026 eV per atom, VASP energy -72.5 eV per cell.